Entry 1:
Entry from the Alexandria database: Cu3Ag4 after structural relaxation (PBE).

```
data_Cu3Ag4
_chemical_formula_sum 'Cu3 Ag4'
_cell_length_a 4.927
_cell_length_b 4.927
_cell_length_c 5.236
_cell_angle_alpha 90.00
_cell_angle_beta 90.00
_cell_angle_gamma 120.00
_space_group_name_H-M_alt 'P 1'
_space_group_IT_number 1
loop_
_space_group_symop_operation_xyz
'x,y,z'
loop_
_atom_site_label
_atom_site_type_symbol
_atom_site_fract_x
_atom_site_fract_y
_atom_site_fract_z
Cu1 Cu 0.000 0.500 0.000
Cu2 Cu 0.500 0.000 0.000
Cu3 Cu 0.500 0.500 0.000
Ag1 Ag 0.000 0.000 0.251
Ag2 Ag 0.000 0.000 0.749
Ag3 Ag 0.333 0.667 0.500
Ag4 Ag 0.667 0.333 0.500
```

Summary:
calculated total energy: -22.9 eV for the cell shown
energy of formation: 108.2 meV/atom
relative energy among the computed polymorphs: 2.5 kJ/mol of atoms

---

Entry 2:
Entry from the Alexandria database: CuAg5 after structural relaxation (PBE).

```
data_CuAg5
_chemical_formula_sum 'Cu2 Ag10'
_cell_length_a 4.722
_cell_length_b 2.876
_cell_length_c 15.139
_cell_angle_alpha 90.00
_cell_angle_beta 90.00
_cell_angle_gamma 90.00
_space_group_name_H-M_alt 'P 1'
_space_group_IT_number 1
loop_
_space_group_symop_operation_xyz
'x,y,z'
loop_
_atom_site_label
_atom_site_type_symbol
_atom_site_fract_x
_atom_site_fract_y
_atom_site_fract_z
Cu1 Cu 0.000 0.000 0.000
Cu2 Cu 0.000 0.500 0.500
Ag1 Ag 0.000 0.000 0.339
Ag2 Ag 0.000 0.000 0.661
Ag3 Ag 0.000 0.500 0.161
Ag4 Ag 0.000 0.500 0.839
Ag5 Ag 0.500 0.000 0.224
Ag6 Ag 0.500 0.000 0.554
Ag7 Ag 0.500 0.000 0.893
Ag8 Ag 0.500 0.500 0.054
Ag9 Ag 0.500 0.500 0.393
Ag10 Ag 0.500 0.500 0.724
```

Summary:
calculated total energy: -35.8 eV for the cell shown
energy of formation: 74.7 meV/atom
relative energy among the computed polymorphs: 0.9 kJ/mol of atoms

---

Entry 3:
Entry from the Alexandria database: Cu4Ag3 after structural relaxation (PBE).

```
data_Cu4Ag3
_chemical_formula_sum 'Cu4 Ag3'
_cell_length_a 5.281
_cell_length_b 5.281
_cell_length_c 4.667
_cell_angle_alpha 90.00
_cell_angle_beta 90.00
_cell_angle_gamma 120.00
_space_group_name_H-M_alt 'P 1'
_space_group_IT_number 1
loop_
_space_group_symop_operation_xyz
'x,y,z'
loop_
_atom_site_label
_atom_site_type_symbol
_atom_site_fract_x
_atom_site_fract_y
_atom_site_fract_z
Cu1 Cu 0.000 0.000 0.248
Cu2 Cu 0.000 0.000 0.752
Cu3 Cu 0.333 0.667 0.000
Cu4 Cu 0.667 0.333 0.000
Ag1 Ag 0.000 0.500 0.500
Ag2 Ag 0.500 0.000 0.500
Ag3 Ag 0.500 0.500 0.500
```

Summary:
calculated total energy: -22.3 eV for the cell shown
energy of formation: 375.4 meV/atom
relative energy among the computed polymorphs: 28.0 kJ/mol of atoms